# MnP2ClO

A relaxed MnP2ClO crystal (GGA+U, Alexandria via LeMat-Bulk).

The structure belongs to space group P4/mmm (No. 123); the cell edges are 4.6269, 4.6269 and 3.4926 Å and the angles 90.00°, 90.00° and 90.00°. The inequivalent atoms are Mn at (0.0000, 0.0000, 0.0000), P at (0.0000, 0.5000, 0.0000), Cl at (0.5000, 0.5000, 0.5000) and O at (0.0000, 0.0000, 0.5000).

For the total energy, the calculation gives -4.401 eV per atom. Its crystal system is tetragonal. The density of states at the Fermi level is 3.5 states/eV/f.u.